This record from OQMD via LeMat-Bulk describes a relaxed structure of ScTaN2O. The functional is PBE-GGA.

Lattice parameters (Å, degrees): 5.286 5.327 5.716 91.30 116.89 119.14
Space group P1 (No. 1)
Inequivalent atoms, fractional coordinates:
1 Sc 0.000 0.000 0.000 x1
2 Sc 0.435 0.712 0.146 x1
3 Ta 0.037 0.537 0.507 x1
4 Ta 0.453 0.226 0.639 x1
5 N 0.220 0.393 0.335 x1
6 N 0.506 0.907 0.803 x1
7 N 0.918 0.577 0.818 x1
8 N 0.933 0.790 0.311 x1
9 O 0.255 0.302 0.829 x1
10 O 0.560 0.126 0.339 x1

Results
The calculation puts the total energy at -9.851 eV/atom.